No. 1
The following is a DFT calculation (meta-GGA SCAN) of a PBEsol-optimized structure of Si2TcRu.

Properties
mass density	7.89	Mg/m³
formation energy without anion corrections	-5.95	kcal/mol of atoms

```
data_Si2TcRu
_chemical_formula_sum 'Si2 Tc1 Ru1'
_cell_length_a 2.8006
_cell_length_b 3.7460
_cell_length_c 5.1180
_cell_angle_alpha 90.00
_cell_angle_beta 90.05
_cell_angle_gamma 90.00
_symmetry_space_group_name_H-M 'P 1'
_symmetry_Int_Tables_number 1
_symmetry_space_group_name_Hall 'P 1'
loop_
_atom_site_label
_atom_site_type_symbol
_atom_site_fract_x
_atom_site_fract_y
_atom_site_fract_z
Si1 Si 0.0028 0.0000 0.2328
Si2 Si 0.9972 0.0000 0.7672
Tc1 Tc 0.5000 0.5000 0.0000
Ru1 Ru 0.0000 0.5000 0.5000
```

---

No. 2
The following is a DFT calculation (meta-GGA SCAN) of a PBEsol-optimized structure of SiTcRu2.

Properties
mass density	10.28	Mg/m³
formation energy without anion corrections	1.18	kcal/mol of atoms

```
data_SiTcRu2
_chemical_formula_sum 'Si1 Tc1 Ru2'
_cell_length_a 3.8366
_cell_length_b 3.8366
_cell_length_c 3.6001
_cell_angle_alpha 90.00
_cell_angle_beta 90.00
_cell_angle_gamma 90.00
_symmetry_space_group_name_H-M 'P 1'
_symmetry_Int_Tables_number 1
_symmetry_space_group_name_Hall 'P 1'
loop_
_atom_site_label
_atom_site_type_symbol
_atom_site_fract_x
_atom_site_fract_y
_atom_site_fract_z
Si1 Si 0.0000 0.0000 0.0000
Tc1 Tc 0.5000 0.5000 0.0000
Ru1 Ru 0.0000 0.5000 0.5000
Ru2 Ru 0.5000 0.0000 0.5000
```

---

No. 3
The following is a DFT calculation (meta-GGA SCAN) of a PBEsol-optimized structure of SiTeRu2.

Properties
mass density	9.70	Mg/m³
formation energy without anion corrections	0.51	kcal/mol of atoms

```
data_SiTeRu2
_chemical_formula_sum 'Si1 Te1 Ru2'
_cell_length_a 8.0567
_cell_length_b 8.0567
_cell_length_c 8.0567
_cell_angle_alpha 21.45
_cell_angle_beta 21.45
_cell_angle_gamma 21.45
_symmetry_space_group_name_H-M 'P 1'
_symmetry_Int_Tables_number 1
_symmetry_space_group_name_Hall 'P 1'
loop_
_atom_site_label
_atom_site_type_symbol
_atom_site_fract_x
_atom_site_fract_y
_atom_site_fract_z
Si1 Si 0.0000 0.0000 0.0000
Te1 Te 0.5000 0.5000 0.5000
Ru1 Ru 0.2580 0.2580 0.2580
Ru2 Ru 0.7420 0.7420 0.7420
```

---

No. 4
The following is a DFT calculation (meta-GGA SCAN) of a PBEsol-optimized structure of Si2TeRu.

Properties
mass density	6.98	Mg/m³
formation energy without anion corrections	16.08	kcal/mol of atoms

```
data_Si2TeRu
_chemical_formula_sum 'Si2 Te1 Ru1'
_cell_length_a 3.7252
_cell_length_b 3.7252
_cell_length_c 4.8839
_cell_angle_alpha 90.00
_cell_angle_beta 90.00
_cell_angle_gamma 90.00
_symmetry_space_group_name_H-M 'P 1'
_symmetry_Int_Tables_number 1
_symmetry_space_group_name_Hall 'P 1'
loop_
_atom_site_label
_atom_site_type_symbol
_atom_site_fract_x
_atom_site_fract_y
_atom_site_fract_z
Si1 Si 0.0000 0.5000 0.0000
Si2 Si 0.5000 0.0000 0.0000
Te1 Te 0.0000 0.0000 0.5000
Ru1 Ru 0.5000 0.5000 0.5000
```

---

No. 5
The following is a DFT calculation (meta-GGA SCAN) of a PBEsol-optimized structure of SiTeRu2.

Properties
mass density	9.67	Mg/m³
formation energy without anion corrections	-0.60	kcal/mol of atoms

```
data_SiTeRu2
_chemical_formula_sum 'Si1 Te1 Ru2'
_cell_length_a 3.0664
_cell_length_b 4.6479
_cell_length_c 4.3125
_cell_angle_alpha 90.00
_cell_angle_beta 90.00
_cell_angle_gamma 90.00
_symmetry_space_group_name_H-M 'P 1'
_symmetry_Int_Tables_number 1
_symmetry_space_group_name_Hall 'P 1'
loop_
_atom_site_label
_atom_site_type_symbol
_atom_site_fract_x
_atom_site_fract_y
_atom_site_fract_z
Si1 Si 0.0000 0.0000 0.0000
Te1 Te 0.5000 0.5000 0.7259
Ru1 Ru 0.0000 0.5000 0.2222
Ru2 Ru 0.5000 0.0000 0.4600
```

---

No. 6
The following is a DFT calculation (meta-GGA SCAN) of a PBEsol-optimized structure of Si2TeRu.

Properties
mass density	6.84	Mg/m³
formation energy without anion corrections	4.04	kcal/mol of atoms

```
data_Si2TeRu
_chemical_formula_sum 'Si2 Te1 Ru1'
_cell_length_a 8.2344
_cell_length_b 8.2344
_cell_length_c 8.2344
_cell_angle_alpha 22.07
_cell_angle_beta 22.07
_cell_angle_gamma 22.07
_symmetry_space_group_name_H-M 'P 1'
_symmetry_Int_Tables_number 1
_symmetry_space_group_name_Hall 'P 1'
loop_
_atom_site_label
_atom_site_type_symbol
_atom_site_fract_x
_atom_site_fract_y
_atom_site_fract_z
Si1 Si 0.2338 0.2338 0.2338
Si2 Si 0.7662 0.7662 0.7662
Te1 Te 0.0000 0.0000 0.0000
Ru1 Ru 0.5000 0.5000 0.5000
```

---

Q: Among the records above, which one has the lowest formation energy without anion corrections?
A: Si2TcRu

---

Q: Which of these has the lowest mass density?
A: number 6

---

Q: The lowest formation energy without anion corrections belongs to which entry?
A: Si2TcRu